1.
Compound: Tb6Y2Ho3
Source: Alexandria
Functional: PBE
Structure: relaxed

Cell: 4.7106 4.7106 17.0100 Å, 97.96 97.96 90.00°
Sites, in units of the cell vectors:
Tb  0.3022  0.3022  0.6044
Tb  0.1221  0.6221  0.2442
Tb  0.6221  0.1221  0.2442
Tb  0.6978  0.6978  0.3956
Tb  0.3779  0.8779  0.7558
Tb  0.8779  0.3779  0.7558
Y  0.5460  0.5460  0.0921
Y  0.4540  0.4540  0.9079
Ho  0.1996  0.1996  0.3993
Ho  0.8004  0.8004  0.6007
Ho  0.0000  0.0000  0.0000

Computed properties:
ΔE to the lowest computed polymorph = 0.273 eV/atom
E_form = 0.291 eV/atom

---

2.
Compound: TbY7Ho2
Source: Alexandria
Functional: PBE
Structure: relaxed

Cell: 3.5108 15.1628 15.1628 Å, 156.52 90.10 90.10°
Sites, in units of the cell vectors:
Y  0.0000  0.7078  0.2922
Y  0.2305  0.3550  0.1544
Y  0.2305  0.1544  0.3550
Y  0.5000  0.5000  0.5000
Y  0.0000  0.2922  0.7078
Y  0.7695  0.8456  0.6450
Y  0.7695  0.6450  0.8456
Tb  0.0000  0.0000  0.0000
Ho  0.5000  0.1916  0.8084
Ho  0.5000  0.8084  0.1916

Computed properties:
ΔE to the lowest computed polymorph = 0.000 eV/atom
E_form = 0.117 eV/atom

---

3.
Compound: Tb3YHo6
Source: Alexandria
Functional: PBE
Structure: relaxed

Cell: 6.2028 10.9126 10.9126 Å, 119.83 90.00 90.00°
Sites, in units of the cell vectors:
Y  0.1368  0.2028  0.7972
Y  0.6368  0.7972  0.2028
Tb  0.4630  0.2812  0.0607
Tb  0.9630  0.7188  0.9393
Tb  0.9630  0.0607  0.2812
Tb  0.4630  0.9393  0.7188
Tb  0.5708  0.6098  0.3902
Tb  0.0708  0.3902  0.6098
Ho  0.5390  0.2877  0.3811
Ho  0.1442  0.7202  0.2798
Ho  0.0390  0.3811  0.2877
Ho  0.9055  0.0436  0.9564
Ho  0.8620  0.9543  0.5330
Ho  0.3620  0.5330  0.9543
Ho  0.6442  0.2798  0.7202
Ho  0.3620  0.0457  0.4670
Ho  0.8620  0.4670  0.0457
Ho  0.4055  0.9564  0.0436
Ho  0.5390  0.6189  0.7123
Ho  0.0390  0.7123  0.6189

Computed properties:
ΔE to the lowest computed polymorph = 0.033 eV/atom
E_form = 0.155 eV/atom

---

4.
Compound: Tb12YHo7
Source: Alexandria
Functional: PBE
Structure: relaxed

Cell: 9.7757 9.7757 9.7757 Å, 109.47 109.47 109.47°
Sites, in units of the cell vectors:
Tb  0.4974  0.7492  0.7482
Tb  0.7482  0.9991  0.2508
Tb  0.7492  0.2518  0.0009
Tb  0.2518  0.5026  0.2508
Tb  0.2508  0.2518  0.5026
Tb  0.2508  0.7482  0.9991
Tb  0.9991  0.2508  0.7482
Tb  0.7492  0.7482  0.4974
Tb  0.0009  0.7492  0.2518
Tb  0.2518  0.0009  0.7492
Tb  0.7482  0.4974  0.7492
Tb  0.5026  0.2508  0.2518
Ho  0.5000  0.0000  0.0000
Ho  0.0000  0.5000  0.0000
Ho  0.0000  0.5000  0.5000
Ho  0.5000  0.5000  0.5000
Ho  0.5000  0.0000  0.5000
Ho  0.5000  0.5000  0.0000
Ho  0.0000  0.0000  0.5000
Y  0.0000  0.0000  0.0000

Computed properties:
ΔE to the lowest computed polymorph = 0.411 eV/atom
E_form = 0.707 eV/atom

---

5.
Compound: Tb3YHo7
Source: Alexandria
Functional: PBE
Structure: relaxed

Cell: 5.7695 8.3871 8.3871 Å, 83.10 110.18 110.18°
Sites, in units of the cell vectors:
Ho  0.2941  0.9902  0.5983
Ho  0.7059  0.0098  0.4017
Ho  0.2068  0.2058  0.2058
Ho  0.7932  0.7942  0.7942
Ho  0.0000  0.5000  0.5000
Ho  0.7059  0.4017  0.0098
Ho  0.2941  0.5983  0.9902
Tb  0.5000  0.0000  0.0000
Tb  0.0000  0.2090  0.7910
Tb  0.0000  0.7910  0.2090
Y  0.5000  0.5000  0.5000

Computed properties:
ΔE to the lowest computed polymorph = 0.122 eV/atom
E_form = 0.271 eV/atom

---

6.
Compound: Tb3Y4Ho2
Source: Alexandria
Functional: PBE
Structure: relaxed

Cell: 5.0264 7.9519 14.6921 Å, 144.46 90.00 108.42°
Sites, in units of the cell vectors:
Ho  0.2208  0.4416  0.6657
Ho  0.7792  0.5584  0.3343
Y  0.1121  0.2243  0.3341
Y  0.8879  0.7757  0.6659
Y  0.3342  0.6684  0.0002
Y  0.6658  0.3316  0.9998
Tb  0.4438  0.8875  0.3338
Tb  0.5562  0.1125  0.6662
Tb  0.0000  0.0000  0.0000

Computed properties:
ΔE to the lowest computed polymorph = 0.000 eV/atom
E_form = 0.020 eV/atom

---

7.
Compound: TbY2Ho3
Source: Alexandria
Functional: PBE
Structure: relaxed

Cell: 6.1923 7.1573 10.1580 Å, 100.15 120.54 89.98°
Sites, in units of the cell vectors:
Ho  0.1953  0.9579  0.3334
Ho  0.1957  0.4583  0.3334
Ho  0.2479  0.3749  0.9987
Ho  0.8043  0.5417  0.6666
Ho  0.7521  0.6251  0.0013
Ho  0.8047  0.0421  0.6666
Y  0.6949  0.7082  0.3343
Y  0.3057  0.7913  0.6657
Y  0.6943  0.2087  0.3343
Y  0.3051  0.2918  0.6657
Tb  0.7522  0.1253  0.0012
Tb  0.2478  0.8747  0.9988

Computed properties:
ΔE to the lowest computed polymorph = 0.000 eV/atom
E_form = 0.001 eV/atom

---

8.
Compound: Tb8Y2Ho
Source: Alexandria
Functional: PBE
Structure: relaxed

Cell: 6.4585 10.3839 10.3838 Å, 37.20 61.40 61.40°
Sites, in units of the cell vectors:
Y  0.8002  0.7505  0.7505
Y  0.1998  0.2495  0.2495
Tb  0.7253  0.6508  0.1663
Tb  0.2747  0.8337  0.3492
Tb  0.7514  0.5933  0.5933
Tb  0.7650  0.2068  0.2068
Tb  0.2747  0.3492  0.8337
Tb  0.2486  0.4067  0.4067
Tb  0.7253  0.1663  0.6508
Tb  0.2350  0.7932  0.7932
Ho  0.0000  0.0000  0.0000

Computed properties:
ΔE to the lowest computed polymorph = 0.067 eV/atom
E_form = 0.220 eV/atom

---

9.
Compound: TbY4Ho3
Source: Alexandria
Functional: PBE
Structure: relaxed

Cell: 5.6115 3.5553 13.4153 Å, 89.91 102.07 90.00°
Sites, in units of the cell vectors:
Y  0.3966  0.5003  0.7931
Y  0.7229  0.5007  0.4458
Y  0.6034  0.4997  0.2069
Y  0.2771  0.4993  0.5542
Ho  0.8444  0.9996  0.6887
Ho  0.1556  0.0004  0.3113
Ho  0.0000  0.5000  0.0000
Tb  0.5000  0.0000  0.0000

Computed properties:
ΔE to the lowest computed polymorph = 0.212 eV/atom
E_form = 0.214 eV/atom

---

10.
Compound: Tb3Y2Ho8
Source: Alexandria
Functional: PBE
Structure: relaxed

Cell: 5.5775 6.7870 11.9409 Å, 106.51 103.52 90.00°
Sites, in units of the cell vectors:
Ho  0.1516  0.4133  0.3036
Ho  0.6824  0.1826  0.3652
Ho  0.8484  0.5867  0.6964
Ho  0.1516  0.8902  0.3036
Ho  0.3176  0.8174  0.6348
Ho  0.5748  0.5748  0.1496
Ho  0.8484  0.1098  0.6964
Ho  0.4252  0.4252  0.8504
Tb  0.5000  0.0000  0.0000
Tb  0.0000  0.7355  0.0000
Tb  0.0000  0.2645  0.0000
Y  0.2770  0.2768  0.5537
Y  0.7230  0.7232  0.4463

Computed properties:
ΔE to the lowest computed polymorph = 0.000 eV/atom
E_form = 0.161 eV/atom

---

11.
Compound: Tb2Y7Ho2
Source: Alexandria
Functional: PBE
Structure: relaxed

Cell: 8.6659 6.5106 6.5106 Å, 93.01 82.15 82.15°
Sites, in units of the cell vectors:
Ho  0.1444  0.6042  0.6042
Ho  0.8556  0.3958  0.3958
Y  0.0000  0.0000  0.0000
Y  0.5918  0.1520  0.1520
Y  0.7915  0.5518  0.9191
Y  0.2085  0.4482  0.0809
Y  0.4082  0.8480  0.8480
Y  0.2085  0.0809  0.4482
Y  0.7915  0.9191  0.5518
Tb  0.5000  0.6763  0.3237
Tb  0.5000  0.3237  0.6763

Computed properties:
ΔE to the lowest computed polymorph = 0.000 eV/atom
E_form = 0.103 eV/atom

---

12.
Compound: Tb3YHo5
Source: Alexandria
Functional: PBE
Structure: relaxed

Cell: 9.4546 9.4546 11.5308 Å, 52.83 52.83 73.75°
Sites, in units of the cell vectors:
Ho  0.5075  0.5075  0.7712
Ho  0.2588  0.7412  0.0000
Ho  0.7412  0.2588  0.0000
Ho  0.1509  0.6535  0.7497
Ho  0.6535  0.1509  0.7497
Ho  0.3465  0.8491  0.2503
Ho  0.1845  0.1845  0.0382
Ho  0.4925  0.4925  0.2288
Ho  0.8155  0.8155  0.9618
Ho  0.8491  0.3465  0.2503
Tb  0.3044  0.3044  0.1859
Tb  0.6956  0.6956  0.8141
Tb  0.0000  0.0000  0.5000
Tb  0.0000  0.0000  0.0000
Tb  0.6581  0.6581  0.3617
Tb  0.3419  0.3419  0.6383
Y  0.1510  0.1510  0.5988
Y  0.8490  0.8490  0.4012

Computed properties:
ΔE to the lowest computed polymorph = 0.457 eV/atom
E_form = 0.530 eV/atom